An optimized crystal structure of ZnRuW, computed with PBE.

Calculated values
symmetry = F-43m (216)
energy above the lowest structure with this stoichiometry = 534 meV per atom
spin magnetization = 0.000 μB per formula unit
E_tot = -22.07 eV/cell
crystal system = cubic
formation enthalpy at 0 K = 479.3 meV per atom

Unit cell a=4.188 b=4.188 c=4.188 alpha=60.00 beta=60.00 gamma=60.00
Fractional coordinates of all 3 atoms:
Ru 0.750 0.750 0.750
W 0.000 0.000 0.000
Zn 0.500 0.500 0.500


An optimized crystal structure of Tc2TeCl, computed with PBE.

Calculated values
symmetry = P4/mmm (123)
energy above the lowest structure with this stoichiometry = 747 meV per atom
spin magnetization = 0.000 μB per formula unit
formation energy (no corrections) = 0.715 eV per atom
E_tot = -22.86 eV/cell
crystal system = tetragonal

Unit cell a=3.226 b=4.542 c=4.542 alpha=90.00 beta=90.00 gamma=90.00
Fractional coordinates of all 4 atoms:
Cl 0.500 0.000 0.500
Tc 0.000 0.000 0.000
Tc 0.000 0.500 0.500
Te 0.500 0.500 0.000